No. 1
Density functional theory data (GGA-PBE) for a relaxed La6ErTl2 crystal.

Computed properties:
**Symmetry**: C2/c (15)
**Calculated total energy**: -79.1 eV for the cell shown
**Crystal system**: monoclinic

Geometry as extended XYZ:
```
18
Lattice="7.591 -6.166 0.000 7.591 6.166 0.000 -2.162 0.000 6.509" Properties=species:S:1:pos:R:3 pbc="T T T"
La 3.896 2.968 1.802
La 5.019 4.565 6.240
La 6.919 4.565 3.524
La 4.235 0.963 4.958
La 10.205 2.968 1.453
La 5.316 -0.963 1.703
La 7.703 0.963 4.806
La 2.814 -2.968 5.056
La 8.784 -0.963 1.551
La 6.100 -4.565 2.985
La 8.001 -4.565 0.270
La 9.124 -2.968 4.707
Er 7.050 1.865 1.627
Er 5.969 -1.865 4.882
Tl 0.985 0.009 5.895
Tl 2.066 -0.009 2.640
Tl 10.954 0.009 3.869
Tl 12.035 -0.009 0.614
```

No. 2
Density functional theory data (GGA-PBE) for a relaxed TbHoMgAu crystal.

Computed properties:
**Symmetry**: P4mm (99)
**Calculated total energy**: -16.0 eV for the cell shown
**Crystal system**: tetragonal

Geometry as extended XYZ:
```
4
Lattice="3.699 0.000 0.000 0.000 3.699 0.000 0.000 0.000 7.278" Properties=species:S:1:pos:R:3 pbc="T T T"
Tb 0.000 0.000 0.000
Ho 0.000 0.000 3.421
Mg 1.850 1.850 5.329
Au 1.850 1.850 1.758
```

No. 3
Density functional theory data (GGA-PBE) for a relaxed Er3AlCu8 crystal.

Computed properties:
**Symmetry**: R3m (160)
**Calculated total energy**: -52.9 eV for the cell shown
**Crystal system**: trigonal

Geometry as extended XYZ:
```
12
Lattice="2.562 1.479 8.383 -2.562 1.479 8.383 0.000 -2.959 8.383" Properties=species:S:1:pos:R:3 pbc="T T T"
Er 0.000 0.000 0.000
Er 0.000 0.000 3.163
Er 0.000 0.000 12.856
Al 0.000 0.000 15.988
Cu -1.290 -0.745 10.026
Cu 0.000 -1.461 5.894
Cu -1.265 0.731 5.894
Cu 0.000 0.000 7.950
Cu 1.265 0.731 5.894
Cu 1.290 -0.745 10.026
Cu 0.000 1.490 10.026
Cu 0.000 0.000 20.556
```

No. 4
Density functional theory data (GGA-PBE) for a relaxed ErTiZnCd crystal.

Computed properties:
**Symmetry**: F-43m (216)
**Calculated total energy**: -60.0 eV for the cell shown
**Crystal system**: cubic

Geometry as extended XYZ:
```
16
Lattice="6.920 0.000 0.000 0.000 6.920 0.000 0.000 0.000 6.920" Properties=species:S:1:pos:R:3 pbc="T T T"
Er 0.000 0.000 0.000
Er 0.000 3.460 3.460
Er 3.460 0.000 3.460
Er 3.460 3.460 0.000
Ti 0.000 0.000 3.460
Ti 0.000 3.460 0.000
Ti 3.460 0.000 0.000
Ti 3.460 3.460 3.460
Zn 1.730 1.730 5.190
Zn 1.730 5.190 1.730
Zn 5.190 1.730 1.730
Zn 5.190 5.190 5.190
Cd 1.730 1.730 1.730
Cd 1.730 5.190 5.190
Cd 5.190 1.730 5.190
Cd 5.190 5.190 1.730
```

No. 5
Density functional theory data (GGA-PBE) for a relaxed MnCr2W crystal.

Computed properties:
**Symmetry**: Cmm2 (35)
**Calculated total energy**: -81.8 eV for the cell shown
**Crystal system**: orthorhombic

Geometry as extended XYZ:
```
8
Lattice="2.995 0.000 0.000 0.000 4.241 0.000 0.000 0.000 8.106" Properties=species:S:1:pos:R:3 pbc="T T T"
Mn 0.000 0.000 0.000
Mn 1.498 2.120 0.000
Cr 0.000 0.000 3.804
Cr 0.000 2.120 1.895
Cr 1.498 0.000 1.895
Cr 1.498 2.120 3.804
W 0.000 2.120 5.968
W 1.498 0.000 5.968
```

No. 6
Density functional theory data (GGA-PBE) for a relaxed Ba2Ga4Au5 crystal.

Computed properties:
**Symmetry**: C2/m (12)
**Calculated total energy**: -37.4 eV for the cell shown
**Crystal system**: monoclinic

Geometry as extended XYZ:
```
11
Lattice="6.453 -3.268 0.000 6.453 3.268 0.000 -5.539 0.000 6.397" Properties=species:S:1:pos:R:3 pbc="T T T"
Ba -1.098 0.000 1.851
Ba 8.465 0.000 4.546
Ga 3.959 0.000 0.935
Ga 2.170 0.000 3.153
Ga 5.197 0.000 3.243
Ga 3.408 0.000 5.462
Au -1.137 1.468 5.095
Au -1.137 -1.468 5.095
Au 6.453 0.000 0.000
Au 8.504 1.468 1.302
Au 8.504 -1.468 1.302
```

- Which value of calculated total energy does entry 4 give?
  -60.0 eV for the cell shown

- calculated total energy of number 5 (MnCr2W)?
  -81.8 eV for the cell shown

- The lowest calculated total energy belongs to which entry?
  MnCr2W